First-principles (PBE-GGA) data for a geometry-optimized Co2OsPb structure, as listed in the Alexandria database.

Computed properties:
* space-group type: I-42d
* V: 17.27 Å³ per atom
* electronic total energy: -6.3010 eV/atom
* ΔH_f (0 K): 986 meV/atom

Unit cell a=8.9787 b=8.9787 c=8.9787 alpha=154.07 beta=154.07 gamma=36.99
Element x y z (fractional)
Co: 0.0399 0.6250 0.9149
Co: 0.3750 0.2899 0.4149
Co: 0.7101 0.1250 0.0851
Co: 0.8750 0.9601 0.5851
Os: 0.0000 0.0000 0.0000
Os: 0.7500 0.2500 0.5000
Pb: 0.2500 0.7500 0.5000
Pb: 0.5000 0.5000 0.0000